# 1
The following is a GGA-PBEsol calculation of crystalline PrGaNi at its relaxed geometry, from Alexandria via LeMat-Bulk.

Summary:
Fermi-level density of states, states/eV/cell: 8.5
E_form, eV/atom: -0.568
Crystal system: orthorhombic

a b c (Å): 7.3301 4.4953 6.7505
angles (deg): 90.00 90.00 90.00
Atoms (fractional coordinates):
Pr 0.0314 0.2500 0.1804
Pr 0.4686 0.7500 0.6804
Pr 0.5314 0.2500 0.3196
Pr 0.9686 0.7500 0.8196
Ga 0.1822 0.2500 0.6056
Ga 0.3178 0.7500 0.1056
Ga 0.6822 0.2500 0.8944
Ga 0.8178 0.7500 0.3944
Ni 0.1533 0.7500 0.4232
Ni 0.3467 0.2500 0.9232
Ni 0.6533 0.7500 0.0768
Ni 0.8467 0.2500 0.5768



# 2
The following is a GGA-PBEsol calculation of crystalline NaTlBi2 at its relaxed geometry, from Alexandria via LeMat-Bulk.

Summary:
Fermi-level density of states, states/eV/cell: 1.9
Excess energy over the best structure of this formula in the dataset, eV/f.u.: 0.000
E_form, eV/atom: -0.026
Crystal system: tetragonal

a b c (Å): 6.9988 6.9988 6.9988
angles (deg): 102.40 102.40 124.78
Atoms (fractional coordinates):
Na 0.0000 0.0000 0.0000
Na 0.7500 0.2500 0.5000
Tl 0.2500 0.7500 0.5000
Tl 0.5000 0.5000 0.0000
Bi 0.1575 0.1250 0.5325
Bi 0.3750 0.8425 0.9675
Bi 0.5925 0.6250 0.4675
Bi 0.8750 0.4075 0.0325



# 3
The following is a GGA-PBEsol calculation of crystalline Hf2AlGaAg at its relaxed geometry, from Alexandria via LeMat-Bulk.

Summary:
Fermi-level density of states, states/eV/cell: 2.2
E_form, eV/atom: 0.722
Crystal system: tetragonal

a b c (Å): 4.9308 4.9308 4.5463
angles (deg): 90.00 90.00 90.00
Atoms (fractional coordinates):
Hf 0.0000 0.5000 0.0000
Hf 0.5000 0.0000 0.0000
Al 0.0000 0.0000 0.0000
Ga 0.5000 0.5000 0.5000
Ag 0.0000 0.0000 0.5000



# 4
The following is a GGA-PBEsol calculation of crystalline K2TlHgBr6 at its relaxed geometry, from Alexandria via LeMat-Bulk.

Summary:
Fermi-level density of states, states/eV/cell: 1.3
Crystal system: cubic
Uncorrected formation energy, eV/atom: -0.95

a b c (Å): 7.8933 7.8933 7.8933
angles (deg): 60.00 60.00 60.00
Atoms (fractional coordinates):
K 0.2500 0.2500 0.2500
K 0.7500 0.7500 0.7500
Tl 0.0000 0.0000 0.0000
Hg 0.5000 0.5000 0.5000
Br 0.2538 0.2538 0.7462
Br 0.2538 0.7462 0.2538
Br 0.2538 0.7462 0.7462
Br 0.7462 0.2538 0.2538
Br 0.7462 0.2538 0.7462
Br 0.7462 0.7462 0.2538



# 5
The following is a GGA-PBEsol calculation of crystalline TeWC2 at its relaxed geometry, from Alexandria via LeMat-Bulk.

Summary:
Fermi-level density of states, states/eV/cell: 4.4
Crystal system: tetragonal
Uncorrected formation energy, eV/atom: 1.22

a b c (Å): 5.9965 5.9965 5.9965
angles (deg): 128.29 128.29 76.16
Atoms (fractional coordinates):
Te 0.0000 0.0000 0.0000
Te 0.7500 0.2500 0.5000
W 0.2500 0.7500 0.5000
W 0.5000 0.5000 0.0000
C 0.2029 0.6250 0.0779
C 0.3750 0.4529 0.5779
C 0.5471 0.1250 0.9221
C 0.8750 0.7971 0.4221



# 6
The following is a GGA-PBEsol calculation of crystalline SrCaP2 at its relaxed geometry, from Alexandria via LeMat-Bulk.

Summary:
Fermi-level density of states, states/eV/cell: 1.7
E_form, eV/atom: -0.763
Crystal system: tetragonal

a b c (Å): 5.1758 5.1758 5.1758
angles (deg): 124.76 124.76 81.94
Atoms (fractional coordinates):
Sr 0.0000 0.0000 0.0000
Ca 0.5000 0.5000 0.0000
P 0.2500 0.7500 0.5000
P 0.7500 0.2500 0.5000